Entry 1:
# LiMgCr2 PBE relaxed
# space group	No. 71
# E_form	2.04	eV/f.u.
# E_tot	-20.714	eV per cell
# total magnetization	0.0	μB per formula unit
data_LiMgCr2
_chemical_formula_sum 'Li1 Mg1 Cr2'
_symmetry_space_group_name_H-M 'P 1'
_symmetry_Int_Tables_number 1
_symmetry_space_group_name_Hall 'P 1'
_cell_length_a 5.228
_cell_length_b 5.228
_cell_length_c 5.228
_cell_angle_alpha 146.45
_cell_angle_beta 137.05
_cell_angle_gamma 55.57
loop_
_atom_site_label
_atom_site_type_symbol
_atom_site_fract_x
_atom_site_fract_y
_atom_site_fract_z
Cr1 Cr 0.994 0.994 0.000
Cr2 Cr 0.506 0.506 0.000
Li1 Li 0.750 0.250 0.500
Mg1 Mg 0.250 0.750 0.500

=====

Entry 2:
# MnBeI5 PBE relaxed
# space group	No. 62
# E_tot	-89.562	eV per cell
# total magnetization	4.1	μB per formula unit
data_MnBeI5
_chemical_formula_sum 'Mn4 Be4 I20'
_symmetry_space_group_name_H-M 'P 1'
_symmetry_Int_Tables_number 1
_symmetry_space_group_name_Hall 'P 1'
_cell_length_a 8.008
_cell_length_b 9.623
_cell_length_c 15.921
_cell_angle_alpha 90.00
_cell_angle_beta 90.00
_cell_angle_gamma 90.00
loop_
_atom_site_label
_atom_site_type_symbol
_atom_site_fract_x
_atom_site_fract_y
_atom_site_fract_z
Mn1 Mn 0.750 0.320 0.942
Mn2 Mn 0.250 0.680 0.058
Mn3 Mn 0.750 0.180 0.442
Mn4 Mn 0.250 0.820 0.558
Be1 Be 0.750 0.969 0.149
Be2 Be 0.250 0.031 0.851
Be3 Be 0.750 0.531 0.649
Be4 Be 0.250 0.469 0.351
I1 I 0.750 0.296 0.603
I2 I 0.250 0.704 0.397
I3 I 0.750 0.204 0.103
I4 I 0.250 0.796 0.897
I5 I 0.750 0.979 0.307
I6 I 0.250 0.021 0.693
I7 I 0.750 0.521 0.807
I8 I 0.250 0.479 0.193
I9 I 0.516 0.352 0.361
I10 I 0.016 0.648 0.639
I11 I 0.484 0.648 0.639
I12 I 0.984 0.352 0.361
I13 I 0.484 0.852 0.139
I14 I 0.984 0.148 0.861
I15 I 0.516 0.148 0.861
I16 I 0.016 0.852 0.139
I17 I 0.500 0.000 0.500
I18 I 0.000 0.000 0.500
I19 I 0.500 0.500 0.000
I20 I 0.000 0.500 0.000

=====

Entry 3:
# TiNbOs PBE relaxed
# space group	No. 156
# excess energy over the best structure of this formula in the dataset	142	meV/atom
# E_form	-0.98	eV/f.u.
# E_tot	-30.178	eV per cell
# total magnetization	0.0	μB per formula unit
data_TiNbOs
_chemical_formula_sum 'Ti1 Nb1 Os1'
_symmetry_space_group_name_H-M 'P 1'
_symmetry_Int_Tables_number 1
_symmetry_space_group_name_Hall 'P 1'
_cell_length_a 2.872
_cell_length_b 4.390
_cell_length_c 4.390
_cell_angle_alpha 120.00
_cell_angle_beta 90.00
_cell_angle_gamma 90.00
loop_
_atom_site_label
_atom_site_type_symbol
_atom_site_fract_x
_atom_site_fract_y
_atom_site_fract_z
Nb1 Nb 0.993 0.000 0.000
Os1 Os 0.668 0.333 0.667
Ti1 Ti 0.339 0.667 0.333

=====

Entry 4:
# In2CuPd2 PBE relaxed
# space group	No. 139
# excess energy over the best structure of this formula in the dataset	407	meV/atom
# E_form	0.59	eV/f.u.
# E_tot	-19.372	eV per cell
# total magnetization	0.0	μB per formula unit
data_In2CuPd2
_chemical_formula_sum 'In2 Cu1 Pd2'
_symmetry_space_group_name_H-M 'P 1'
_symmetry_Int_Tables_number 1
_symmetry_space_group_name_Hall 'P 1'
_cell_length_a 4.125
_cell_length_b 4.125
_cell_length_c 6.728
_cell_angle_alpha 72.15
_cell_angle_beta 72.15
_cell_angle_gamma 90.00
loop_
_atom_site_label
_atom_site_type_symbol
_atom_site_fract_x
_atom_site_fract_y
_atom_site_fract_z
Cu1 Cu 0.000 0.000 0.000
Pd1 Pd 0.395 0.395 0.210
Pd2 Pd 0.605 0.605 0.790
In1 In 0.750 0.250 0.500
In2 In 0.250 0.750 0.500

=====

Entry 5:
# LaNbPO2 PBE relaxed
# space group	No. 123
# excess energy over the best structure of this formula in the dataset	1428	meV/atom
# E_tot	-33.228	eV per cell
# total magnetization	2.5	μB per formula unit
data_LaNbPO2
_chemical_formula_sum 'La1 Nb1 P1 O2'
_symmetry_space_group_name_H-M 'P 1'
_symmetry_Int_Tables_number 1
_symmetry_space_group_name_Hall 'P 1'
_cell_length_a 4.131
_cell_length_b 4.131
_cell_length_c 6.579
_cell_angle_alpha 90.00
_cell_angle_beta 90.00
_cell_angle_gamma 90.00
loop_
_atom_site_label
_atom_site_type_symbol
_atom_site_fract_x
_atom_site_fract_y
_atom_site_fract_z
P1 P 0.000 0.000 0.500
Nb1 Nb 0.500 0.500 0.500
O1 O 0.000 0.500 0.000
O2 O 0.500 0.000 0.000
La1 La 0.000 0.000 0.000

=====

Entry 6:
# CoSi2Os PBE relaxed
# space group	No. 99
# E_tot	-28.746	eV per cell
# total magnetization	0.0	μB per formula unit
data_CoSi2Os
_chemical_formula_sum 'Co1 Si2 Os1'
_symmetry_space_group_name_H-M 'P 1'
_symmetry_Int_Tables_number 1
_symmetry_space_group_name_Hall 'P 1'
_cell_length_a 2.688
_cell_length_b 2.688
_cell_length_c 7.196
_cell_angle_alpha 90.00
_cell_angle_beta 90.00
_cell_angle_gamma 90.00
loop_
_atom_site_label
_atom_site_type_symbol
_atom_site_fract_x
_atom_site_fract_y
_atom_site_fract_z
Co1 Co 0.000 0.000 0.492
Os1 Os 0.500 0.500 0.743
Si1 Si 0.000 0.000 0.980
Si2 Si 0.500 0.500 0.285

=====

Entry 7:
# TbHoIn PBE relaxed
# space group	No. 107
# excess energy over the best structure of this formula in the dataset	0	meV/atom
# E_form	-0.94	eV/f.u.
# E_tot	-12.885	eV per cell
# total magnetization	0.0	μB per formula unit
data_TbHoIn
_chemical_formula_sum 'Tb1 Ho1 In1'
_symmetry_space_group_name_H-M 'P 1'
_symmetry_Int_Tables_number 1
_symmetry_space_group_name_Hall 'P 1'
_cell_length_a 3.541
_cell_length_b 3.541
_cell_length_c 7.311
_cell_angle_alpha 104.02
_cell_angle_beta 104.02
_cell_angle_gamma 90.00
loop_
_atom_site_label
_atom_site_type_symbol
_atom_site_fract_x
_atom_site_fract_y
_atom_site_fract_z
Tb1 Tb 0.273 0.273 0.546
Ho1 Ho 0.961 0.961 0.923
In1 In 0.616 0.616 0.231

=====

Entry 8:
# La2ScSn2 PBE relaxed
# space group	No. 71
# excess energy over the best structure of this formula in the dataset	30	meV/atom
# E_form	-3.46	eV/f.u.
# E_tot	-27.650	eV per cell
# total magnetization	0.5	μB per formula unit
data_La2ScSn2
_chemical_formula_sum 'La2 Sc1 Sn2'
_symmetry_space_group_name_H-M 'P 1'
_symmetry_Int_Tables_number 1
_symmetry_space_group_name_Hall 'P 1'
_cell_length_a 4.647
_cell_length_b 6.384
_cell_length_c 6.384
_cell_angle_alpha 63.22
_cell_angle_beta 68.65
_cell_angle_gamma 68.65
loop_
_atom_site_label
_atom_site_type_symbol
_atom_site_fract_x
_atom_site_fract_y
_atom_site_fract_z
La1 La 0.799 0.701 0.701
La2 La 0.201 0.299 0.299
Sc1 Sc 0.000 0.000 0.000
Sn1 Sn 0.500 0.728 0.272
Sn2 Sn 0.500 0.272 0.728

=====

Entry 9:
# Tb3Pr2Dy6Ho PBE relaxed
# space group	No. 12
# E_form	0.19	eV/f.u.
# E_tot	-55.449	eV per cell
# total magnetization	0.0	μB per formula unit
data_Tb3Pr2Dy6Ho
_chemical_formula_sum 'Tb3 Pr2 Dy6 Ho1'
_symmetry_space_group_name_H-M 'P 1'
_symmetry_Int_Tables_number 1
_symmetry_space_group_name_Hall 'P 1'
_cell_length_a 6.190
_cell_length_b 6.190
_cell_length_c 11.833
_cell_angle_alpha 94.98
_cell_angle_beta 94.98
_cell_angle_gamma 119.97
loop_
_atom_site_label
_atom_site_type_symbol
_atom_site_fract_x
_atom_site_fract_y
_atom_site_fract_z
Tb1 Tb 0.166 0.834 0.500
Tb2 Tb 0.834 0.166 0.500
Tb3 Tb 0.500 0.500 0.500
Pr1 Pr 0.333 0.667 0.000
Pr2 Pr 0.667 0.333 0.000
Dy1 Dy 0.916 0.583 0.748
Dy2 Dy 0.752 0.752 0.253
Dy3 Dy 0.084 0.417 0.252
Dy4 Dy 0.583 0.916 0.748
Dy5 Dy 0.248 0.248 0.747
Dy6 Dy 0.417 0.084 0.252
Ho1 Ho 0.000 0.000 0.000

=====

Entry 10:
# Sm3ThIn2 PBE relaxed
# space group	No. 123
# E_form	-1.91	eV/f.u.
# E_tot	-28.960	eV per cell
# total magnetization	0.0	μB per formula unit
data_Sm3ThIn2
_chemical_formula_sum 'Sm3 Th1 In2'
_symmetry_space_group_name_H-M 'P 1'
_symmetry_Int_Tables_number 1
_symmetry_space_group_name_Hall 'P 1'
_cell_length_a 3.645
_cell_length_b 3.645
_cell_length_c 13.351
_cell_angle_alpha 90.00
_cell_angle_beta 90.00
_cell_angle_gamma 90.00
loop_
_atom_site_label
_atom_site_type_symbol
_atom_site_fract_x
_atom_site_fract_y
_atom_site_fract_z
Sm1 Sm 0.000 0.000 0.000
Sm2 Sm 0.000 0.000 0.682
Sm3 Sm 0.000 0.000 0.318
Th1 Th 0.500 0.500 0.500
In1 In 0.500 0.500 0.840
In2 In 0.500 0.500 0.160

=====

Entry 11:
# Mg2GaFe PBE relaxed
# space group	No. 122
# E_form	1.82	eV/f.u.
# E_tot	-25.708	eV per cell
# total magnetization	1.2	μB per formula unit
data_Mg2GaFe
_chemical_formula_sum 'Mg4 Ga2 Fe2'
_symmetry_space_group_name_H-M 'P 1'
_symmetry_Int_Tables_number 1
_symmetry_space_group_name_Hall 'P 1'
_cell_length_a 7.120
_cell_length_b 7.120
_cell_length_c 5.656
_cell_angle_alpha 51.00
_cell_angle_beta 51.00
_cell_angle_gamma 90.00
loop_
_atom_site_label
_atom_site_type_symbol
_atom_site_fract_x
_atom_site_fract_y
_atom_site_fract_z
Mg1 Mg 0.608 0.125 0.250
Mg2 Mg 0.142 0.625 0.250
Mg3 Mg 0.375 0.392 0.750
Mg4 Mg 0.875 0.858 0.750
Fe1 Fe 0.500 0.500 0.000
Fe2 Fe 0.250 0.750 0.500
Ga1 Ga 0.000 0.000 0.000
Ga2 Ga 0.750 0.250 0.500

=====

Entry 12:
# Tm3ZnIr3 PBE relaxed
# space group	No. 63
# E_form	-5.80	eV/f.u.
# E_tot	-94.136	eV per cell
# total magnetization	0.0	μB per formula unit
data_Tm3ZnIr3
_chemical_formula_sum 'Tm6 Zn2 Ir6'
_symmetry_space_group_name_H-M 'P 1'
_symmetry_Int_Tables_number 1
_symmetry_space_group_name_Hall 'P 1'
_cell_length_a 4.127
_cell_length_b 5.443
_cell_length_c 13.594
_cell_angle_alpha 90.00
_cell_angle_beta 90.00
_cell_angle_gamma 112.28
loop_
_atom_site_label
_atom_site_type_symbol
_atom_site_fract_x
_atom_site_fract_y
_atom_site_fract_z
Tm1 Tm 0.197 0.394 0.896
Tm2 Tm 0.803 0.606 0.104
Tm3 Tm 0.197 0.394 0.604
Tm4 Tm 0.803 0.606 0.396
Tm5 Tm 0.479 0.958 0.750
Tm6 Tm 0.521 0.042 0.250
Zn1 Zn 0.500 0.000 0.000
Zn2 Zn 0.500 0.000 0.500
Ir1 Ir 0.907 0.813 0.909
Ir2 Ir 0.093 0.187 0.091
Ir3 Ir 0.907 0.813 0.591
Ir4 Ir 0.093 0.187 0.409
Ir5 Ir 0.758 0.517 0.750
Ir6 Ir 0.242 0.483 0.250